#A
The following is a PBE calculation of a geometry-optimized La2TmSc structure, from Alexandria.

Values from the calculation:
Symmetry: P4/mmm, No. 123

Geometry as POSCAR:
```
La2TmSc
1.0
3.702 0.000 0.000
0.000 3.702 0.000
0.000 0.000 9.332
Sc Tm La
1 1 2
Cartesian
1.851 1.851 0.000
1.851 1.851 4.666
0.000 0.000 7.087
0.000 0.000 2.245
```



#B
The following is a PBE calculation of a geometry-optimized La2TmSc structure, from Alexandria.

Values from the calculation:
Symmetry: P4/mmm, No. 123

Geometry as POSCAR:
```
La2TmSc
1.0
4.687 0.000 0.000
0.000 5.216 0.000
0.000 0.000 5.216
Sc Tm La
1 1 2
Cartesian
2.344 0.000 0.000
2.344 2.608 2.608
0.000 0.000 2.608
0.000 2.608 0.000
```



Quick ranking, most stable first: #A, #B.